This record from OQMD via LeMat-Bulk describes CdTcNO after structural relaxation. The functional is PBE-GGA.

## Properties
E above lowest polymorph: 0.060 eV/atom
Crystal system: orthorhombic
Space-group type: Pmc2_1

Geometry as extended XYZ:
```
8
Lattice="-1.483 1.490 2.248 -0.417 -4.392 2.636 6.246 1.345 3.230" Properties=species:S:1:pos:R:3 pbc="T T T"
N 5.269 -0.324 3.691
N 0.486 -3.505 2.643
O 3.885 -1.877 5.914
O 0.385 -0.479 2.679
Cd 3.689 0.583 2.048
Cd 2.307 -1.866 2.759
Tc 4.994 -0.279 5.586
Tc -0.460 0.698 1.341
```

This record from OQMD via LeMat-Bulk describes CdTcNO after structural relaxation. The functional is PBE-GGA.

## Properties
E above lowest polymorph: 0.062 eV/atom
Crystal system: orthorhombic
Space-group type: Pca2_1

Geometry as extended XYZ:
```
16
Lattice="-0.711 2.540 -4.200 -1.691 -4.621 -2.508 -7.506 1.549 2.207" Properties=species:S:1:pos:R:3 pbc="T T T"
Cd -4.246 0.709 -4.695
Cd -6.015 0.016 -1.886
Cd -5.572 3.467 -2.802
Cd -4.688 -2.742 -3.779
N -4.917 -1.278 -5.744
N -5.334 1.970 -0.782
N -3.925 -0.806 -2.699
N -6.326 1.498 -3.827
Tc -8.205 -1.511 -2.588
Tc -2.231 -0.259 -2.842
Tc -7.354 -1.427 0.247
Tc -1.380 -0.174 -0.007
O -0.915 -1.319 -1.759
O -0.780 1.293 -3.131
O -9.044 -2.126 -0.872
O -8.909 0.485 -2.244
```

This record from OQMD via LeMat-Bulk describes CdTcNO after structural relaxation. The functional is PBE-GGA.

## Properties
E above lowest polymorph: 0.308 eV/atom
Crystal system: tetragonal
Space-group type: P4/nmm

Geometry as extended XYZ:
```
8
Lattice="-2.113 1.587 -2.850 2.786 -0.887 -2.560 -3.140 -6.359 -1.213" Properties=species:S:1:pos:R:3 pbc="T T T"
O 0.000 0.000 0.000
O 0.337 0.350 -2.705
Cd 0.948 -1.345 -1.452
Cd -3.751 -4.664 -2.466
N -0.474 -4.226 -2.001
N -2.328 -1.783 -1.916
Tc -1.570 -3.179 -0.607
Tc -1.233 -2.830 -3.311
```